Entry 1
Crystalline Bi3MoF at its relaxed geometry, computed with GGA+U.

Cell: 5.358 5.358 5.358 Å, 90.00 90.00 90.00°
Atoms (fractional coordinates):
Mo 0.000 0.000 0.000
F 0.500 0.500 0.500
Bi 0.000 0.500 0.000
Bi 0.500 0.000 0.000
Bi 0.000 0.000 0.500

SG: Pm-3m, No. 221

---

Entry 2
Crystalline Bi3MoF at its relaxed geometry, computed with GGA+U.

Cell: 5.074 5.074 5.074 Å, 90.00 90.00 90.00°
Site moments in Bohr magnetons follow the coordinates.
Atoms (fractional coordinates):
Bi 0.000 0.000 0.500  -0.21
F 0.000 0.000 0.000  -0.04
Bi 0.000 0.500 0.000  -0.26
Mo 0.500 0.500 0.500  3.78
Bi 0.500 0.000 0.000  -0.19

SG: Pm-3m, No. 221

---

Most stable of them? entry 2.

---

Entry 1
Crystalline BiMo2F2 at its relaxed geometry, computed with GGA+U.

Cell: 4.660 4.660 5.607 Å, 65.45 65.45 90.00°
Site moments in Bohr magnetons follow the coordinates.
Atoms (fractional coordinates):
Bi 0.000 0.000 0.000  -0.50
F 0.666 0.666 0.667  0.02
Mo 0.250 0.750 0.500  3.45
F 0.334 0.334 0.333  0.02
Mo 0.750 0.250 0.500  3.45

SG: I4/mmm, No. 139

---

Entry 2
Crystalline BiMo2F2 at its relaxed geometry, computed with GGA+U.

Cell: 7.606 7.606 3.228 Å, 90.00 90.00 90.00°
Site moments in Bohr magnetons follow the coordinates.
Atoms (fractional coordinates):
F 0.117 0.383 0.000  0.03
Mo 0.158 0.658 0.500  3.83
Bi 0.000 0.000 0.000  -0.50
Mo 0.842 0.342 0.500  3.83
Bi 0.500 0.500 0.000  -0.50
F 0.617 0.117 0.000  0.04
F 0.883 0.617 0.000  0.03
Mo 0.342 0.158 0.500  3.82
F 0.383 0.883 0.000  0.04
Mo 0.658 0.842 0.500  3.82

SG: P4/mbm, No. 127

---

Most stable of them? entry 1.

---

Entry 1
Crystalline Bi2MoF at its relaxed geometry, computed with GGA+U.

Cell: 4.482 4.482 10.945 Å, 78.19 78.19 90.00°
Site moments in Bohr magnetons follow the coordinates.
Atoms (fractional coordinates):
Bi 0.375 0.375 0.750  -0.12
Bi 0.625 0.125 0.250  -0.09
Bi 0.125 0.625 0.250  -0.09
Mo 0.000 0.000 0.000  3.83
F 0.250 0.750 0.500  0.04
Bi 0.875 0.875 0.750  -0.12
F 0.500 0.500 0.000  0.04
Mo 0.750 0.250 0.500  3.83

SG: I-42d, No. 122

---

Entry 2
Crystalline Bi2MoF at its relaxed geometry, computed with GGA+U.

Cell: 5.036 5.036 5.036 Å, 60.00 60.00 60.00°
Site moments in Bohr magnetons follow the coordinates.
Atoms (fractional coordinates):
Bi 0.750 0.750 0.750  -0.08
Bi 0.250 0.250 0.250  -0.08
Mo 0.500 0.500 0.500  3.44
F 0.000 0.000 0.000  0.00

SG: Fm-3m, No. 225

---

Most stable of them? entry 2.